# CrIn2Tc (PBE-GGA, relaxed)
data_CrIn2Tc
_chemical_formula_sum 'Cr3 In6 Tc3'
_symmetry_space_group_name_H-M 'R -3 m'
_symmetry_Int_Tables_number 166
_symmetry_space_group_name_Hall '-R 3 2"'
_cell_length_a 3.1086
_cell_length_b 3.1086
_cell_length_c 26.7993
_cell_angle_alpha 90.00
_cell_angle_beta 90.00
_cell_angle_gamma 120.00
loop_
_atom_site_label
_atom_site_type_symbol
_atom_site_fract_x
_atom_site_fract_y
_atom_site_fract_z
Cr1 Cr 0.0000 0.0000 0.0000
In1 In 0.0000 0.0000 0.2480
Tc1 Tc 0.0000 0.0000 0.5000
# DOS at the Fermi energy in states/eV/f.u.: 3.60
# Excess energy over the best structure of this formula in the dataset in meV/atom: 302.2
# Mass density in g/cm³: 8.4
# Total magnetic moment in μB per formula unit: 3.73
# V in A^3/atom: 18.689
# ΔE_f in eV/atom: 0.494